The following is a PBE-GGA calculation of HoEr3Co after structural relaxation, from the Alexandria database. Values from VASP.

* ΔH_f (0 K): -20.6 meV per atom
* space group: Pm-3m
* energy above the lowest structure with this stoichiometry: 39.3 meV per atom
* VASP energy: -25.475 eV per cell

Geometry as Quantum ESPRESSO input:
```
&SYSTEM
  ibrav = 0, nat = 5, ntyp = 3
/
ATOMIC_SPECIES
Ho 164.93 Ho.upf
Er 167.26 Er.upf
Co 58.93 Co.upf
ATOMIC_POSITIONS crystal
Ho 0.000 0.000 0.000
Er 0.000 0.500 0.500
Er 0.500 0.000 0.500
Er 0.500 0.500 0.000
Co 0.500 0.500 0.500
CELL_PARAMETERS angstrom
5.220 0.000 0.000
0.000 5.220 0.000
0.000 0.000 5.220
```